This record from the Alexandria database describes a relaxed NdDyCo crystal. The functional is GGA-PBE.

Cell lengths 6.7341, 6.7341, 6.7341 Å; angles 90.00, 90.00, 90.00 degrees
With the nearest neighbours (Å) after each atom.
Space group F-43m (No. 216)
One atom of each set of equivalent atoms:
Nd1 0.0000 0.0000 0.0000 [4 per cell]  4 Co 2.92
Dy1 0.0000 0.0000 0.5000 [4 per cell]  4 Co 2.92
Co1 0.2500 0.2500 0.7500 [4 per cell]  4 Dy 2.92, 4 Nd 2.92

Computed properties:
calculated volume: 25.45 Å³ per atom
electronic total energy: -5.485 eV per atom

***

This record from the Alexandria database describes a relaxed SmHoMg crystal. The functional is GGA-PBE.

Cell lengths 5.4641, 5.4641, 3.4094 Å; angles 90.00, 90.00, 120.00 degrees
With the nearest neighbours (Å) after each atom.
Space group P3m1 (No. 156)
One atom of each set of equivalent atoms:
Sm1 0.0000 0.0000 0.0000 [1 per cell]  3 Mg 3.32, 2 Sm 3.41, 6 Ho 3.48-3.70
Ho1 0.3333 0.6667 0.5693 [1 per cell]  3 Mg 3.28, 2 Ho 3.41, 3 Sm 3.48
Mg1 0.6667 0.3333 0.3019 [1 per cell]  3 Ho 3.28, 3 Sm 3.32, 2 Mg 3.41

Computed properties:
calculated volume: 29.39 Å³ per atom
electronic total energy: -3.589 eV per atom

***

This record from the Alexandria database describes a relaxed NbReCCl2 crystal. The functional is GGA-PBE.

Cell lengths 4.4375, 4.4375, 5.3011 Å; angles 90.00, 90.00, 90.00 degrees
With the nearest neighbours (Å) after each atom.
Space group P4/mmm (No. 123)
One atom of each set of equivalent atoms:
Nb1 0.0000 0.0000 0.0000 [1 per cell]  2 Re 2.65
Re1 0.0000 0.0000 0.5000 [1 per cell]  4 Cl 2.22
C1 0.5000 0.5000 0.0000 [1 per cell]  4 Nb 3.14, 8 Cl 3.46
Cl1 0.0000 0.5000 0.5000 [2 per cell]  2 Re 2.22

Computed properties:
calculated volume: 20.88 Å³ per atom
formation energy (no corrections): 1946 meV/atom

***

This record from the Alexandria database describes a relaxed Zn2ReRh2 crystal. The functional is GGA-PBE.

Cell lengths 3.3600, 3.3600, 13.5145 Å; angles 90.00, 90.00, 90.00 degrees
With the nearest neighbours (Å) after each atom.
Space group I4/mmm (No. 139)
One atom of each set of equivalent atoms:
Zn1 0.0000 0.5000 0.2500 [4 per cell]  4 Zn 2.38
Re1 0.0000 0.0000 0.0000 [2 per cell]  8 Rh 2.71
Rh1 0.0000 0.0000 0.4029 [4 per cell]  1 Rh 2.63, 4 Zn 2.66, 4 Re 2.71

Computed properties:
calculated volume: 15.26 Å³ per atom
electronic total energy: -5.616 eV per atom